{
  "formula": "Ba2Al3Cu2",
  "functional": "GGA-PBE",
  "state": "optimized geometry",
  "lattice": [[-2.289, -3.342, 1.305], [-0.594, 0.593, -6.462], [6.358, -2.969, 3.546]],
  "species": ["Al", "Ba", "Al", "Cu", "Ba", "Al", "Cu"],
  "fractional_positions": [[0.340, 0.680, 0.571], [0.865, 0.730, 0.236], [0.660, 0.320, 0.429], [0.120, 0.240, 0.203], [0.135, 0.270, 0.764], [0.500, 0.000, 0.000], [0.880, 0.760, 0.797]],
  "sg": "No. 12",
  "n_ef_per_ev_cell": 3.8,
  "energy_ev_per_atom": -3.518,
  "ef_mev_per_atom": -195
}